Ca2CdAs3Rh4 | GGA-PBE | optimized geometry

POSCAR file:
```
Ca2CdAs3Rh4
1.0
-2.264 3.313 -1.133
-2.686 -0.778 3.093
5.821 6.242 6.626
Ca As Rh Cd
2 3 4 1
Direct
0.500 0.000 0.247
0.000 0.500 0.753
0.500 0.000 0.871
0.000 0.000 0.500
0.000 0.500 0.129
0.000 0.500 0.348
0.500 0.000 0.652
0.500 0.500 0.000
0.000 0.000 0.000
0.500 0.500 0.500
```

Properties
- SG = P-4m2, No. 115
- energy of formation from the pure elements (eV/atom) = -0.668